Record 1
This record from the Alexandria database describes a PBEsol-optimized structure of YRuPt2. The functional is SCAN.

The space group is R-3m (No. 166, hexagonal axes) and the conventional cell measures 2.8393, 2.8393 and 28.1520 Å, with angles of 90.00, 90.00 and 120.00 degrees. The distinct sites, in fractional coordinates, are Y at (0.0000, 0.0000, 0.0000), Ru at (0.0000, 0.0000, 0.5000) and Pt at (0.0000, 0.0000, 0.2433).

As for the density of states at the Fermi level: 10.07 states/eV per cell. As for the mass density: 14.705 g cm⁻³. Its formation energy is 28 kJ/mol of formula units. The total DFT energy (no corrections) is -202.8 eV per formula unit.

***

Record 2
This record from the Alexandria database describes a PBEsol-optimized structure of KBa2I5. The functional is SCAN.

The space group is P2_1/c (No. 14) and the conventional cell measures 10.218, 9.140 and 14.540 Å, with angles of 90.00, 90.14 and 90.00 degrees. The distinct sites, in fractional coordinates, are K at (0.002, 0.028, 0.175), Ba at (0.246, 0.581, 0.008), Ba at (0.500, 0.028, 0.178), I at (0.046, 0.167, 0.400), I at (0.262, 0.698, 0.778), I at (0.267, 0.536, 0.502), I at (0.276, 0.169, 0.684) and I at (0.455, 0.166, 0.403).

As for the density of states at the Fermi level: 0.00 states/eV per cell. As for the mass density: 4.638 g cm⁻³. The total DFT energy (no corrections) is -286.4 eV per formula unit. The value obtained for the raw formation energy is -1906 meV per atom.

***

Record 3
This record from the Alexandria database describes a PBEsol-optimized structure of Ti2RuRh. The functional is SCAN.

The space group is Fm-3m (No. 225) and the conventional cell measures 6.104, 6.104 and 6.104 Å, with angles of 90.00, 90.00 and 90.00 degrees. The distinct sites, in fractional coordinates, are Ti at (0.250, 0.250, 0.250), Ru at (0.000, 0.000, 0.000) and Rh at (0.000, 0.000, 0.500).

As for the density of states at the Fermi level: 12.11 states/eV per cell. As for the mass density: 8.752 g cm⁻³. Its formation energy is -339 kJ/mol of formula units. The total DFT energy (no corrections) is -104.2 eV per formula unit.